Entry 1:
The following is a PBE calculation of crystalline KTe2Pt at its relaxed geometry, from Alexandria.

abc: 8.7239 8.7239 8.7239
angles: 155.16 155.01 35.53
Fractional positions:
K 0.4450 0.4450 0.0000
Te 0.0849 0.0849 0.0000
Te 0.7663 0.2663 0.5000
Pt 0.2037 0.7037 0.5000

Output
ΔE_f (raw): -0.26 eV/atom
SG: Imm2 (44)
DFT total energy: -3.62 eV/atom
magnetic moment: 0.000 μB/f.u.


Entry 2:
The following is a PBE calculation of crystalline KTe2Pt at its relaxed geometry, from Alexandria.

abc: 4.0208 6.7143 5.8868
angles: 125.85 89.99 90.00
Fractional positions:
Te 0.0001 0.3211 0.6423
Te 0.9999 0.6789 0.3577
Pt 0.5000 0.5000 0.0000
K 0.5000 0.0000 0.0000

Output
ΔE_f (raw): -0.58 eV/atom
SG: P2/m (10)
DFT total energy: -3.93 eV/atom
magnetic moment: 0.000 μB/f.u.


no.,density of states at the Fermi level (states/eV per atom)
1,0.728
2,0.345